*1*
! NpPaAu2 (PBE, optimized geometry); values from VASP
! symmetry: R-3m (166)
&SYSTEM
  ibrav = 0, nat = 4, ntyp = 3
/
ATOMIC_SPECIES
Np 237.00 Np.upf
Pa 231.04 Pa.upf
Au 196.97 Au.upf
ATOMIC_POSITIONS crystal
Np 0.500 0.500 0.500
Pa 0.000 0.000 0.000
Au 0.250 0.250 0.250
Au 0.750 0.750 0.750
CELL_PARAMETERS angstrom
-1.185 -2.783 -0.472
1.817 -2.314 -0.846
1.854 -4.119 9.705

***

*2*
! NpPaAu2 (PBE, optimized geometry); values from VASP
! symmetry: P4/mmm (123)
&SYSTEM
  ibrav = 0, nat = 4, ntyp = 3
/
ATOMIC_SPECIES
Au 196.97 Au.upf
Np 237.00 Np.upf
Pa 231.04 Pa.upf
ATOMIC_POSITIONS crystal
Au 0.000 0.000 0.249
Au 0.000 0.000 0.751
Np 0.500 0.500 0.500
Pa 0.500 0.500 0.000
CELL_PARAMETERS angstrom
3.891 0.000 0.000
0.000 3.891 0.000
0.000 0.000 6.104

***

Stability ranking, top and bottom: *2* is the most stable and *1* is the least stable.